1.
Compound: Tl4InSn2
Source: the Alexandria database
Functional: GGA-PBE
Structure: optimized geometry

Cell and atoms, written as POSCAR:
```
Tl4InSn2
1.0
-2.9551 2.0688 -4.5423
-0.0961 -5.3013 -2.3520
-5.1626 0.1111 7.1128
Tl In Sn
4 1 2
Direct
0.8005 0.8005 0.6011 Tl
0.1995 0.1995 0.3989 Tl
0.0000 0.5000 0.0000 Tl
0.5000 0.0000 0.0000 Tl
0.0000 0.0000 0.0000 In
0.6013 0.6013 0.2026 Sn
0.3987 0.3987 0.7974 Sn
```

- Calculated total energy: -18.155 eV/f.u.
- Relative energy among the computed polymorphs: 19.5 kJ per mole of atoms
- Calculated density: 7.43 g cm⁻³
- Space-group type: I4/mmm, No. 139
- ΔH_f (0 K): 0.293 eV/atom

2.
Compound: FeGe3Cl
Source: the Alexandria database
Functional: GGA-PBE
Structure: optimized geometry

Cell and atoms, written as POSCAR:
```
FeGe3Cl
1.0
-4.4292 -1.5641 -1.8037
-0.9163 -2.3967 4.3282
-2.2046 4.1384 1.8249
Ge Fe Cl
3 1 1
Direct
0.0000 0.5000 0.0000 Ge
0.0000 0.0000 0.5000 Ge
0.5000 0.0000 0.0000 Ge
0.5000 0.5000 0.5000 Fe
0.0000 0.0000 0.0000 Cl
```

- Calculated total energy: -18.377 eV/f.u.
- Energy relative to the elements, uncorrected: 1157 meV per atom
- Relative energy among the computed polymorphs: 119.7 kJ per mole of atoms
- Calculated density: 4.03 g cm⁻³
- Space-group type: Pm-3m, No. 221

3.
Compound: LaUMnC3
Source: the Alexandria database
Functional: GGA-PBE
Structure: optimized geometry

Cell and atoms, written as POSCAR:
```
LaUMnC3
1.0
-0.6870 -3.2254 1.3123
5.6821 0.7009 4.6973
-5.4508 2.9246 4.3346
La U Mn C
2 2 2 6
Direct
0.7500 0.8348 0.8072 La
0.2500 0.1652 0.1928 La
0.2500 0.6449 0.1723 U
0.7500 0.3551 0.8277 U
0.2500 0.0903 0.5882 Mn
0.7500 0.9097 0.4118 Mn
0.2500 0.8478 0.4699 C
0.7500 0.8593 0.1583 C
0.7500 0.4356 0.1277 C
0.7500 0.1522 0.5301 C
0.2500 0.5644 0.8723 C
0.2500 0.1407 0.8417 C
```

- Calculated total energy: -53.254 eV/f.u.
- Calculated density: 7.92 g cm⁻³
- Space-group type: P2_1/m, No. 11
- ΔH_f (0 K): -0.033 eV/atom

4.
Compound: Tc2NiRu
Source: the Alexandria database
Functional: GGA-PBE
Structure: optimized geometry

Cell and atoms, written as POSCAR:
```
Tc2NiRu
1.0
-3.9285 0.7514 2.2869
-3.1668 -2.9772 -1.5279
4.3049 -0.6589 1.5036
Ni Ru Tc
1 1 2
Direct
0.5000 0.5000 0.0000 Ni
0.2500 0.7500 0.5000 Ru
0.0001 0.0001 0.0000 Tc
0.7500 0.2500 0.5000 Tc
```

- Calculated total energy: -35.542 eV/f.u.
- Relative energy among the computed polymorphs: 10.6 kJ per mole of atoms
- Calculated density: 10.89 g cm⁻³
- Space-group type: I-4m2, No. 119
- ΔH_f (0 K): 0.062 eV/atom

5.
Compound: Nd6PtRh2I3
Source: the Alexandria database
Functional: GGA-PBE
Structure: optimized geometry

Cell and atoms, written as POSCAR:
```
Nd6PtRh2I3
1.0
-0.2156 5.7014 -4.5531
-6.0855 -2.2057 3.3742
3.7195 3.8438 6.5882
Nd Pt Rh I
6 1 2 3
Direct
0.9381 0.5987 0.8141 Nd
0.7224 0.7224 0.1856 Nd
0.0619 0.4013 0.1859 Nd
0.5987 0.9381 0.8141 Nd
0.2776 0.2776 0.8144 Nd
0.4013 0.0619 0.1859 Nd
0.0000 0.0000 0.0000 Pt
0.3333 0.6667 0.0000 Rh
0.6667 0.3333 0.0000 Rh
0.1666 0.8334 0.5000 I
0.8334 0.1666 0.5000 I
0.5000 0.5000 0.5000 I
```

- Calculated total energy: -66.034 eV/f.u.
- Energy relative to the elements, uncorrected: -1003 meV per atom
- Calculated density: 7.29 g cm⁻³
- Space-group type: C2/m, No. 12

6.
Compound: Sr2TcAg
Source: the Alexandria database
Functional: GGA-PBE
Structure: optimized geometry

Cell and atoms, written as POSCAR:
```
Sr2TcAg
1.0
-0.4141 -3.3487 9.2184
3.0396 -4.2533 8.3087
2.2813 -0.8538 9.5096
Ag Sr Tc
1 2 1
Direct
0.7500 0.7500 0.7500 Ag
0.9949 0.9949 0.9949 Sr
0.5051 0.5051 0.5051 Sr
0.2500 0.2500 0.2500 Tc
```

- Calculated total energy: -13.751 eV/f.u.
- Relative energy among the computed polymorphs: 25.0 kJ per mole of atoms
- Calculated density: 5.62 g cm⁻³
- Space-group type: R-3m, No. 166
- ΔH_f (0 K): 0.708 eV/atom

7.
Compound: Li3DyCu8
Source: the Alexandria database
Functional: GGA-PBE
Structure: optimized geometry

Cell and atoms, written as POSCAR:
```
Li3DyCu8
1.0
-0.8297 4.7785 1.1417
-3.5717 -3.3944 0.7393
2.8045 -1.3115 7.5274
Li Dy Cu
3 1 8
Direct
0.6667 0.3333 0.4056 Li
0.6667 0.3333 0.0577 Li
0.0000 0.0000 0.9629 Li
0.0000 0.0000 0.5647 Dy
0.3333 0.6667 0.4991 Cu
0.3333 0.6667 0.0000 Cu
0.5024 0.0048 0.7561 Cu
0.5024 0.4976 0.7561 Cu
0.9952 0.4976 0.7561 Cu
0.1659 0.3318 0.2473 Cu
0.1659 0.8341 0.2473 Cu
0.6682 0.8341 0.2473 Cu
```

- Calculated total energy: -44.591 eV/f.u.
- Calculated density: 6.56 g cm⁻³
- Space-group type: P3m1, No. 156
- ΔH_f (0 K): -0.123 eV/atom

8.
Compound: Pd4PtAu5
Source: the Alexandria database
Functional: GGA-PBE
Structure: optimized geometry

Cell and atoms, written as POSCAR:
```
Pd4PtAu5
1.0
0.9098 -3.4574 3.4419
5.7054 0.0196 0.9427
-2.0186 5.0720 3.2844
Pd Pt Au
4 1 5
Direct
0.7003 0.2972 0.4001 Pd
0.0967 0.9028 0.1969 Pd
0.2997 0.7028 0.5999 Pd
0.9033 0.0972 0.8031 Pd
0.5000 0.0000 0.0000 Pt
0.2996 0.1968 0.6029 Au
0.1064 0.3963 0.2034 Au
0.8936 0.6037 0.7966 Au
0.5000 0.5000 0.0000 Au
0.7004 0.8032 0.3971 Au
```

- Calculated total energy: -43.649 eV/f.u.
- Relative energy among the computed polymorphs: 0.0 kJ per mole of atoms
- Calculated density: 15.98 g cm⁻³
- Space-group type: P-1, No. 2
- ΔH_f (0 K): -0.045 eV/atom